(1)
Er2SnPt PBE-GGA relaxed; energy of formation from the pure elements = -1.021 eV per atom; crystal system = monoclinic; SG = P2_1/m, No. 11
1.0
4.365 0.000 0.000
0.000 5.649 -2.123
0.000 -0.143 8.005
Er Sn Pt
4 2 2
Direct
0.750 0.199 0.445
0.250 0.801 0.555
0.250 0.768 0.096
0.750 0.232 0.904
0.250 0.319 0.207
0.750 0.681 0.793
0.750 0.668 0.296
0.250 0.332 0.704

(2)
Er7Sn2Pt2 PBE-GGA relaxed; energy of formation from the pure elements = -0.646 eV per atom; crystal system = orthorhombic; SG = Cmmm, No. 65
1.0
6.794 -0.002 -0.717
0.003 7.003 0.003
-1.139 -0.003 6.737
Er Sn Pt
7 2 2
Direct
0.000 0.251 0.500
0.500 0.749 0.000
0.000 0.749 0.500
0.500 0.251 0.000
0.000 0.000 0.000
0.500 0.760 0.500
0.500 0.240 0.500
0.819 0.500 0.819
0.181 0.500 0.181
0.715 0.000 0.285
0.285 0.000 0.715

(3)
Er2Sn6Pt PBE-GGA relaxed; energy of formation from the pure elements = -0.462 eV per atom; crystal system = hexagonal; SG = P-62m, No. 189
1.0
4.006 0.000 0.000
0.000 8.113 0.000
0.000 -4.057 7.030
Er Sn Pt
2 6 1
Direct
0.000 0.333 0.666
0.000 0.667 0.334
0.500 0.634 0.000
0.500 0.365 0.365
0.500 0.000 0.635
0.000 0.237 0.000
0.000 0.763 0.763
0.000 0.000 0.237
0.500 0.000 0.000

(4)
Er4Sn2Pt PBE-GGA relaxed; energy of formation from the pure elements = -0.791 eV per atom; crystal system = monoclinic; SG = C2/m, No. 12
1.0
4.539 0.000 0.000
0.000 8.557 -1.061
-2.270 -4.980 5.448
Er Sn Pt
4 2 1
Direct
0.926 0.213 0.853
0.074 0.787 0.147
0.671 0.279 0.343
0.329 0.721 0.657
0.648 0.636 0.297
0.352 0.364 0.703
0.000 0.000 0.000

(5)
ErSnPt2 PBE-GGA relaxed; energy of formation from the pure elements = -1.024 eV per atom; crystal system = hexagonal; SG = P6_3/mmc, No. 194
1.0
4.551 0.000 0.000
-2.275 3.941 0.000
0.000 0.000 9.026
Er Sn Pt
2 2 4
Direct
0.667 0.333 0.750
0.333 0.667 0.250
0.000 0.000 0.500
0.000 0.000 0.000
0.667 0.333 0.090
0.333 0.667 0.910
0.333 0.667 0.590
0.667 0.333 0.410

(6)
ErSnPt2 PBE-GGA relaxed; energy of formation from the pure elements = -0.875 eV per atom; crystal system = tetragonal; SG = P4/mmm, No. 123
1.0
-0.870 -3.077 1.850
4.365 -1.432 -0.328
0.990 2.109 3.973
Sn Pt Er
1 2 1
Direct
0.500 0.000 0.000
0.000 0.000 0.500
0.000 0.500 0.000
0.500 0.500 0.500

What did the sixth record say?
ErSnPt2 PBE-GGA relaxed; energy of formation from the pure elements = -0.875 eV per atom; crystal system = tetragonal; SG = P4/mmm, No. 123
1.0
-0.870 -3.077 1.850
4.365 -1.432 -0.328
0.990 2.109 3.973
Sn Pt Er
1 2 1
Direct
0.500 0.000 0.000
0.000 0.000 0.500
0.000 0.500 0.000
0.500 0.500 0.500

Among the records above, which one has the lowest energy of formation from the pure elements? number 5

Look up the energy of formation from the pure elements of the third one. -0.462 eV per atom

Among the records above, which one has the highest energy of formation from the pure elements? Er2Sn6Pt